Record 1
Density functional theory data (PBE) for a geometry-optimized CsRhWI2 structure.

a b c (Å): 6.7803 6.7803 5.7836
angles (deg): 90.00 90.00 90.00
With the nearest neighbours (Å) after each atom.
Sites, in units of the cell vectors:
Cs (0.0000, 0.0000, 0.0000)  2 W 2.89
Rh (0.5000, 0.5000, 0.5000)  8 I 4.46, 4 W 4.79
W (0.0000, 0.0000, 0.5000)  2 Cs 2.89
I (0.0000, 0.5000, 0.0000)  2 Cs 3.39
I (0.5000, 0.0000, 0.0000)  2 Cs 3.39

The symmetry is P4/mmm, No. 123. For the uncorrected formation energy, the calculation gives 2.25 eV per atom. The value obtained for the total DFT energy (no corrections) is -2.604 eV/atom. The value obtained for the density of states at the Fermi level is 17.747 states/eV per cell. The calculated density comes out at 4.21 g/cm3.

---

Record 2
Density functional theory data (PBE) for a geometry-optimized AgP2Se structure.

a b c (Å): 7.1531 7.1531 7.1531
angles (deg): 133.52 133.52 67.84
With the nearest neighbours (Å) after each atom.
Sites, in units of the cell vectors:
Ag (0.0000, 0.0000, 0.0000)  4 P 2.47
Ag (0.7500, 0.2500, 0.5000)  4 P 2.47
P (0.1204, 0.6250, 0.9954)  2 Ag 2.47, 2 Se 2.50
P (0.3750, 0.3704, 0.4954)  2 Ag 2.47, 2 Se 2.50
P (0.6296, 0.1250, 0.0046)  2 Ag 2.47, 2 Se 2.50
P (0.8750, 0.8796, 0.5046)  2 Ag 2.47, 2 Se 2.50
Se (0.2500, 0.7500, 0.5000)  4 P 2.50
Se (0.5000, 0.5000, 0.0000)  4 P 2.50

The symmetry is I-42d, No. 122. For the uncorrected formation energy, the calculation gives 0.49 eV per atom. The value obtained for the total DFT energy (no corrections) is -3.802 eV/atom. The value obtained for the density of states at the Fermi level is 5.624 states/eV per cell. The calculated density comes out at 4.37 g/cm3.

---

Record 3
Density functional theory data (PBE) for a geometry-optimized TaSbPb2 structure.

a b c (Å): 8.3023 8.3023 8.3023
angles (deg): 132.96 132.96 68.72
With the nearest neighbours (Å) after each atom.
Sites, in units of the cell vectors:
Ta (0.0000, 0.0000, 0.0000)  4 Pb 2.78
Ta (0.7500, 0.2500, 0.5000)  4 Pb 2.78
Sb (0.2500, 0.7500, 0.5000)  4 Pb 3.03
Sb (0.5000, 0.5000, 0.0000)  4 Pb 3.03
Pb (0.0919, 0.6250, 0.9669)  2 Ta 2.78, 2 Sb 3.03
Pb (0.3750, 0.3419, 0.4669)  2 Ta 2.78, 2 Sb 3.03
Pb (0.6581, 0.1250, 0.0331)  2 Ta 2.78, 2 Sb 3.03
Pb (0.8750, 0.9081, 0.5331)  2 Ta 2.78, 2 Sb 3.03

The symmetry is I-42d, No. 122. For the uncorrected formation energy, the calculation gives 1.05 eV per atom. The value obtained for the total DFT energy (no corrections) is -4.793 eV/atom. The value obtained for the density of states at the Fermi level is 3.641 states/eV per cell. The calculated density comes out at 7.91 g/cm3.

---

Record 4
Density functional theory data (PBE) for a geometry-optimized LaPm2Ho7 structure.

a b c (Å): 6.1688 7.1351 8.0092
angles (deg): 76.96 75.09 73.58
With the nearest neighbours (Å) after each atom.
Sites, in units of the cell vectors:
La (0.0000, 0.0000, 0.0000)  10 Ho 3.57-3.59, 2 Pm 3.60
Pm (0.2025, 0.7971, 0.5994)  10 Ho 3.54-3.59, 1 La 3.60, 1 Pm 3.61
Pm (0.7975, 0.2029, 0.4006)  10 Ho 3.54-3.59, 1 La 3.60, 1 Pm 3.61
Ho (0.0000, 0.5000, 0.0000)  8 Ho 3.56-3.58, 2 Pm 3.57, 2 La 3.57
Ho (0.1992, 0.3017, 0.5996)  4 Pm 3.54-3.59, 7 Ho 3.56-3.59, 1 La 3.57
Ho (0.3999, 0.1009, 0.2005)  7 Ho 3.55-3.60, 3 Pm 3.56-3.58, 2 La 3.57
Ho (0.4019, 0.5978, 0.1997)  2 Pm 3.55-3.58, 9 Ho 3.55-3.59, 1 La 3.59
Ho (0.5981, 0.4022, 0.8003)  2 Pm 3.55-3.58, 9 Ho 3.55-3.59, 1 La 3.59
Ho (0.6001, 0.8991, 0.7995)  7 Ho 3.55-3.60, 3 Pm 3.56-3.58, 2 La 3.57
Ho (0.8008, 0.6983, 0.4004)  4 Pm 3.54-3.59, 7 Ho 3.56-3.59, 1 La 3.57

The symmetry is P-1, No. 2. For the formation energy, the calculation gives 0.02 eV/atom. The value obtained for the total DFT energy (no corrections) is -4.626 eV/atom. The value obtained for the density of states at the Fermi level is 14.205 states/eV per cell. The calculated density comes out at 8.16 g/cm3. The calculation puts the energy above the most stable polymorph in this dataset at 0.000 eV per atom.

---

Record 5
Density functional theory data (PBE) for a geometry-optimized PmPrZr structure.

a b c (Å): 8.0700 8.0700 8.0700
angles (deg): 155.35 155.35 35.15
With the nearest neighbours (Å) after each atom.
Sites, in units of the cell vectors:
Pm (0.0000, 0.0000, 0.0000)  4 Zr 3.37, 4 Pm 3.45
Pr (0.3088, 0.3088, 0.0000)  4 Zr 3.43, 4 Pr 3.45, 4 Pm 3.82
Zr (0.6518, 0.6518, 0.0000)  4 Pm 3.37, 4 Pr 3.43, 4 Zr 3.45

The symmetry is I4mm, No. 107. For the formation energy, the calculation gives 0.13 eV/atom. The value obtained for the total DFT energy (no corrections) is -5.900 eV/atom. The value obtained for the density of states at the Fermi level is 4.040 states/eV per cell. The calculated density comes out at 6.86 g/cm3. The calculation puts the energy above the most stable polymorph in this dataset at 0.014 eV per atom.

---

Record 6
Density functional theory data (PBE) for a geometry-optimized Tc2IrSe structure.

a b c (Å): 8.8650 8.8650 8.8650
angles (deg): 18.47 18.47 18.47
With the nearest neighbours (Å) after each atom.
Sites, in units of the cell vectors:
Tc (0.0000, 0.0000, 0.0000)  3 Se 2.56, 9 Tc 2.78-2.84
Tc (0.2473, 0.2473, 0.2473)  3 Ir 2.66, 9 Tc 2.78-2.84
Ir (0.5004, 0.5004, 0.5004)  3 Tc 2.66, 6 Ir 2.84, 3 Se 2.91
Se (0.7417, 0.7417, 0.7417)  3 Tc 2.56, 6 Se 2.84

The symmetry is R3m, No. 160. For the uncorrected formation energy, the calculation gives 0.19 eV per atom. The value obtained for the total DFT energy (no corrections) is -8.075 eV/atom. The value obtained for the density of states at the Fermi level is 3.349 states/eV per cell. The calculated density comes out at 12.71 g/cm3.

---

Record 7
Density functional theory data (PBE) for a geometry-optimized Sm2AlGaO6 structure.

a b c (Å): 5.3690 5.4881 9.3401
angles (deg): 90.00 125.05 90.00
With the nearest neighbours (Å) after each atom.
Sites, in units of the cell vectors:
Sm (0.2378, 0.0494, 0.2501)  6 O 2.33-2.54
Sm (0.2378, 0.4506, 0.7501)  6 O 2.33-2.54
Sm (0.7622, 0.5494, 0.2499)  6 O 2.33-2.54
Sm (0.7622, 0.9506, 0.7499)  6 O 2.33-2.54
Al (0.0000, 0.0000, 0.5000)  6 O 1.92-1.95
Al (0.0000, 0.5000, 0.0000)  6 O 1.92-1.95
Ga (0.5000, 0.0000, 0.0000)  6 O 2.01-2.02
Ga (0.5000, 0.5000, 0.5000)  6 O 2.01-2.02
O (0.1587, 0.2140, 0.9545)  1 Al 1.95, 1 Ga 2.01
O (0.1587, 0.2860, 0.4545)  1 Al 1.95, 1 Ga 2.01
O (0.2405, 0.7040, 0.9558)  1 Al 1.92, 1 Ga 2.02
O (0.2405, 0.7960, 0.4558)  1 Al 1.92, 1 Ga 2.02
O (0.3286, 0.0208, 0.7445)  1 Al 1.93, 1 Ga 2.01
O (0.3286, 0.4792, 0.2445)  1 Al 1.93, 1 Ga 2.01
O (0.6714, 0.5208, 0.7555)  1 Al 1.93, 1 Ga 2.01
O (0.6714, 0.9792, 0.2555)  1 Al 1.93, 1 Ga 2.01
O (0.7595, 0.2040, 0.5442)  1 Al 1.92, 1 Ga 2.02
O (0.7595, 0.2960, 0.0442)  1 Al 1.92, 1 Ga 2.02
O (0.8413, 0.7140, 0.5455)  1 Al 1.95, 1 Ga 2.01
O (0.8413, 0.7860, 0.0455)  1 Al 1.95, 1 Ga 2.01

The symmetry is P2_1/c, No. 14. For the uncorrected formation energy, the calculation gives -2.97 eV per atom. The value obtained for the total DFT energy (no corrections) is -7.561 eV/atom. The value obtained for the density of states at the Fermi level is 0.000 states/eV per cell. The calculated density comes out at 7.27 g/cm3.

---

Record 8
Density functional theory data (PBE) for a geometry-optimized Ba2IrRh3O12 structure.

a b c (Å): 7.1814 7.1814 7.1814
angles (deg): 58.91 58.91 58.91
With the nearest neighbours (Å) after each atom.
Sites, in units of the cell vectors:
Ba (0.1225, 0.1225, 0.1225)  6 O 2.91-3.02
Ba (0.8775, 0.8775, 0.8775)  6 O 2.91-3.02
Ir (0.5000, 0.5000, 0.5000)  6 O 1.93
Rh (0.0000, 0.5000, 0.5000)  6 O 1.96-1.99
Rh (0.5000, 0.0000, 0.5000)  6 O 1.96-1.99
Rh (0.5000, 0.5000, 0.0000)  6 O 1.96-1.99
O (0.1668, 0.1668, 0.5791)  2 Rh 1.96
O (0.1668, 0.5791, 0.1668)  2 Rh 1.96
O (0.1747, 0.5779, 0.5779)  1 Ir 1.93, 1 Rh 1.99
O (0.4209, 0.8332, 0.8332)  2 Rh 1.96
O (0.4221, 0.4221, 0.8253)  1 Ir 1.93, 1 Rh 1.99
O (0.4221, 0.8253, 0.4221)  1 Ir 1.93, 1 Rh 1.99
O (0.5779, 0.1747, 0.5779)  1 Ir 1.93, 1 Rh 1.99
O (0.5779, 0.5779, 0.1747)  1 Ir 1.93, 1 Rh 1.99
O (0.5791, 0.1668, 0.1668)  2 Rh 1.96
O (0.8253, 0.4221, 0.4221)  1 Ir 1.93, 1 Rh 1.99
O (0.8332, 0.4209, 0.8332)  2 Rh 1.96
O (0.8332, 0.8332, 0.4209)  2 Rh 1.96

The symmetry is R-3m, No. 166. For the uncorrected formation energy, the calculation gives -1.13 eV per atom. The value obtained for the total DFT energy (no corrections) is -6.363 eV/atom. The value obtained for the density of states at the Fermi level is 14.539 states/eV per cell. The calculated density comes out at 6.29 g/cm3.

---

Record 9
Density functional theory data (PBE) for a geometry-optimized CaBeF3 structure.

a b c (Å): 4.4086 4.4086 4.4086
angles (deg): 90.00 90.00 90.00
With the nearest neighbours (Å) after each atom.
Sites, in units of the cell vectors:
Ca (0.0000, 0.0000, 0.0000)  6 F 2.20
Be (0.5000, 0.5000, 0.5000)  12 F 3.12
F (0.0000, 0.0000, 0.5000)  2 Ca 2.20
F (0.0000, 0.5000, 0.0000)  2 Ca 2.20
F (0.5000, 0.0000, 0.0000)  2 Ca 2.20

The symmetry is Pm-3m, No. 221. For the uncorrected formation energy, the calculation gives -2.11 eV per atom. The value obtained for the total DFT energy (no corrections) is -4.381 eV/atom. The value obtained for the density of states at the Fermi level is 0.101 states/eV per cell. The calculated density comes out at 2.06 g/cm3. The calculation puts the energy above the most stable polymorph in this dataset at 0.360 eV per atom.

---

Record 10
Density functional theory data (PBE) for a geometry-optimized Hf2Be16Co structure.

a b c (Å): 5.6673 5.6673 5.6673
angles (deg): 83.21 83.21 83.21
With the nearest neighbours (Å) after each atom.
Sites, in units of the cell vectors:
Hf (0.0000, 0.0000, 0.0000)  19 Be 2.63-2.91
Hf (0.3212, 0.3212, 0.3212)  1 Co 2.62, 18 Be 2.72-2.89
Be (0.0032, 0.0032, 0.5007)  9 Be 2.19-2.35
Be (0.0032, 0.5007, 0.0032)  9 Be 2.19-2.35
Be (0.1621, 0.6568, 0.6568)  9 Be 2.11-2.31, 1 Co 2.28
Be (0.3168, 0.3168, 0.8132)  8 Be 2.16-2.39, 1 Co 2.32
Be (0.3168, 0.8132, 0.3168)  8 Be 2.16-2.39, 1 Co 2.32
Be (0.3745, 0.6564, 0.9390)  7 Be 2.11-2.35, 1 Co 2.36
Be (0.3745, 0.9390, 0.6564)  7 Be 2.11-2.35, 1 Co 2.36
Be (0.5007, 0.0032, 0.0032)  9 Be 2.19-2.35
Be (0.6564, 0.3745, 0.9390)  7 Be 2.11-2.35, 1 Co 2.36
Be (0.6564, 0.9390, 0.3745)  7 Be 2.11-2.35, 1 Co 2.36
Be (0.6568, 0.1621, 0.6568)  9 Be 2.11-2.31, 1 Co 2.28
Be (0.6568, 0.6568, 0.1621)  9 Be 2.11-2.31, 1 Co 2.28
Be (0.7592, 0.7592, 0.7592)  1 Co 2.16, 12 Be 2.31-2.40
Be (0.8132, 0.3168, 0.3168)  8 Be 2.16-2.39, 1 Co 2.32
Be (0.9390, 0.3745, 0.6564)  7 Be 2.11-2.35, 1 Co 2.36
Be (0.9390, 0.6564, 0.3745)  7 Be 2.11-2.35, 1 Co 2.36
Co (0.5616, 0.5616, 0.5616)  13 Be 2.16-2.36

The symmetry is R3m, No. 160. For the formation energy, the calculation gives -0.27 eV/atom. The value obtained for the total DFT energy (no corrections) is -4.825 eV/atom. The value obtained for the density of states at the Fermi level is 5.365 states/eV per cell. The calculated density comes out at 5.21 g/cm3.